Entry 1:
Density functional theory data (PBE) for Ca2GaNi3As4 after structural relaxation.

It has space group P-4m2 (No. 115), with a = 4.214 Å, b = 4.214 Å, c = 9.939 Å, α = 90.00°, β = 90.00° and γ = 90.00°. Symmetry generates all atoms from Ca at (0.000, 0.500, 0.238), Ga at (0.000, 0.000, 0.500), Ni at (0.000, 0.500, 0.883), Ni at (0.500, 0.500, 0.500), As at (0.000, 0.000, 0.000), As at (0.000, 0.500, 0.647) and As at (0.500, 0.500, 0.000).

For the total magnetic moment, the calculation gives 0.000 μB/atom. Its formation energy from the elements is -588.8 meV/atom. For the total DFT energy (no corrections), the calculation gives -48.86 eV/cell.

---

Entry 2:
Density functional theory data (PBE) for Tb3DyAs4 after structural relaxation.

It has space group Cmmm (No. 65), with a = 8.268 Å, b = 11.689 Å, c = 4.135 Å, α = 90.00°, β = 90.00° and γ = 90.00°. Symmetry generates all atoms from Tb at (0.000, 0.000, 0.000), Tb at (0.250, 0.250, 0.500), Dy at (0.000, 0.500, 0.000), As at (0.000, 0.250, 0.000) and As at (0.249, 0.500, 0.500).

For the total magnetic moment, the calculation gives 0.000 μB/atom. Its formation energy from the elements is -1540.8 meV/atom. For the total DFT energy (no corrections), the calculation gives -98.83 eV/cell.

---

Entry 3:
Density functional theory data (PBE) for AsPbI3 after structural relaxation.

It has space group Pm-3m (No. 221), with a = 6.235 Å, b = 6.235 Å, c = 6.235 Å, α = 90.00°, β = 90.00° and γ = 90.00°. Symmetry generates all atoms from As at (0.000, 0.000, 0.000), Pb at (0.500, 0.500, 0.500) and I at (0.000, 0.500, 0.500).

For the total magnetic moment, the calculation gives 0.437 μB/atom. For the total DFT energy (no corrections), the calculation gives -11.38 eV/cell.

---

Entry 4:
Density functional theory data (PBE) for CaZnMo3 after structural relaxation.

It has space group Pm-3m (No. 221), with a = 4.716 Å, b = 4.716 Å, c = 4.716 Å, α = 90.00°, β = 90.00° and γ = 90.00°. Symmetry generates all atoms from Ca at (0.000, 0.000, 0.000), Zn at (0.500, 0.500, 0.500) and Mo at (0.000, 0.500, 0.500).

For the total magnetic moment, the calculation gives 0.000 μB/atom. Its formation energy from the elements is 1509.7 meV/atom. For the total DFT energy (no corrections), the calculation gives -28.22 eV/cell.

---

Entry 5:
Density functional theory data (PBE) for TaCrTc3 after structural relaxation.

It has space group Pm-3m (No. 221), with a = 4.384 Å, b = 4.384 Å, c = 4.384 Å, α = 90.00°, β = 90.00° and γ = 90.00°. Symmetry generates all atoms from Ta at (0.000, 0.000, 0.000), Cr at (0.500, 0.500, 0.500) and Tc at (0.000, 0.500, 0.500).

For the total magnetic moment, the calculation gives 0.000 μB/atom. Its formation energy from the elements is 946.5 meV/atom. For the total DFT energy (no corrections), the calculation gives -47.84 eV/cell.

---

Entry 6:
Density functional theory data (PBE) for PmMgCdPt after structural relaxation.

It has space group F-43m (No. 216), with a = 7.051 Å, b = 7.051 Å, c = 7.051 Å, α = 90.00°, β = 90.00° and γ = 90.00°. Symmetry generates all atoms from Pm at (0.000, 0.000, 0.000), Mg at (0.000, 0.000, 0.500), Cd at (0.250, 0.250, 0.750) and Pt at (0.250, 0.250, 0.250).

For the total magnetic moment, the calculation gives 0.000 μB/atom. Its formation energy from the elements is -599.6 meV/atom. For the total DFT energy (no corrections), the calculation gives -62.80 eV/cell.

---

Entry 7:
Density functional theory data (PBE) for CdB2AsO6 after structural relaxation.

It has space group C2/c (No. 15), with a = 8.913 Å, b = 8.889 Å, c = 6.014 Å, α = 90.00°, β = 109.13° and γ = 90.00°. Symmetry generates all atoms from Cd at (0.000, 0.102, 0.250), B at (0.206, 0.411, 0.219), As at (0.000, 0.314, 0.750), O at (0.099, 0.302, 0.099), O at (0.132, 0.118, 0.675) and O at (0.168, 0.442, 0.748).

For the total magnetic moment, the calculation gives 0.000 μB/atom. For the total DFT energy (no corrections), the calculation gives -259.85 eV/cell.

---

Entry 8:
Density functional theory data (PBE) for Ce2RePb after structural relaxation.

It has space group R-3m (No. 166, hexagonal axes), with a = 3.9234 Å, b = 3.9234 Å, c = 29.3381 Å, α = 90.00°, β = 90.00° and γ = 120.00°. Symmetry generates all atoms from Ce at (0.0000, 0.0000, 0.1135), Re at (0.0000, 0.0000, 0.5000) and Pb at (0.0000, 0.0000, 0.0000).

For the total magnetic moment, the calculation gives 0.000 μB/atom. Its formation energy from the elements is 299.0 meV/atom. For the total DFT energy (no corrections), the calculation gives -80.48 eV/cell.

---

Entry 9:
Density functional theory data (PBE) for BMo3Os after structural relaxation.

It has space group Pm-3m (No. 221), with a = 4.714 Å, b = 4.714 Å, c = 4.714 Å, α = 90.00°, β = 90.00° and γ = 90.00°. Symmetry generates all atoms from B at (0.000, 0.000, 0.000), Mo at (0.000, 0.500, 0.500) and Os at (0.500, 0.500, 0.500).

For the total magnetic moment, the calculation gives 0.160 μB/atom. Its formation energy from the elements is 2471.7 meV/atom. For the total DFT energy (no corrections), the calculation gives -38.04 eV/cell.

---

Entry 10:
Density functional theory data (PBE) for BaTlPb3 after structural relaxation.

It has space group Cmcm (No. 63), with a = 6.621 Å, b = 17.893 Å, c = 6.451 Å, α = 90.00°, β = 90.00° and γ = 90.00°. Symmetry generates all atoms from Ba at (0.000, 0.185, 0.250), Tl at (0.000, 0.445, 0.750), Pb at (0.000, 0.000, 0.000) and Pb at (0.235, 0.371, 0.250).

For the total magnetic moment, the calculation gives 0.000 μB/atom. Its formation energy from the elements is -163.2 meV/atom. For the total DFT energy (no corrections), the calculation gives -64.92 eV/cell.

---

Entry 11:
Density functional theory data (PBE) for CaSi2GeMo after structural relaxation.

It has space group P4/mmm (No. 123), with a = 4.768 Å, b = 4.768 Å, c = 4.899 Å, α = 90.00°, β = 90.00° and γ = 90.00°. Symmetry generates all atoms from Ca at (0.000, 0.000, 0.000), Si at (0.000, 0.500, 0.500), Ge at (0.500, 0.500, 0.000) and Mo at (0.500, 0.500, 0.500).

For the total magnetic moment, the calculation gives 0.000 μB/atom. For the total DFT energy (no corrections), the calculation gives -28.07 eV/cell.

---

Entry 12:
Density functional theory data (PBE) for BeAsPb2 after structural relaxation.

It has space group Pmmm (No. 47), with a = 3.451 Å, b = 3.753 Å, c = 7.204 Å, α = 90.00°, β = 90.00° and γ = 90.00°. Symmetry generates all atoms from Be at (0.000, 0.000, 0.000), As at (0.000, 0.000, 0.500) and Pb at (0.500, 0.500, 0.236).

For the total magnetic moment, the calculation gives 0.000 μB/atom. Its formation energy from the elements is 524.0 meV/atom. For the total DFT energy (no corrections), the calculation gives -13.70 eV/cell.

---

Entry 13:
Density functional theory data (PBE) for CeP2Ir5Au after structural relaxation.

It has space group P4/mmm (No. 123), with a = 3.989 Å, b = 3.989 Å, c = 10.576 Å, α = 90.00°, β = 90.00° and γ = 90.00°. Symmetry generates all atoms from Ce at (0.000, 0.000, 0.000), P at (0.500, 0.500, 0.218), Ir at (0.000, 0.500, 0.323), Ir at (0.500, 0.500, 0.000) and Au at (0.000, 0.000, 0.500).

For the total magnetic moment, the calculation gives 0.067 μB/atom. Its formation energy from the elements is -273.0 meV/atom. For the total DFT energy (no corrections), the calculation gives -66.79 eV/cell.

---

Entry 14:
Density functional theory data (PBE) for Nd3Cu2Ru after structural relaxation.

It has space group Pnma (No. 62), with a = 11.824 Å, b = 4.211 Å, c = 11.713 Å, α = 90.00°, β = 90.00° and γ = 90.00°. Symmetry generates all atoms from Nd at (0.051, 0.250, 0.124), Nd at (0.119, 0.750, 0.554), Nd at (0.225, 0.250, 0.792), Cu at (0.016, 0.750, 0.310), Cu at (0.194, 0.750, 0.997) and Ru at (0.127, 0.250, 0.366).

For the total magnetic moment, the calculation gives 0.000 μB/atom. Its formation energy from the elements is -166.2 meV/atom. For the total DFT energy (no corrections), the calculation gives -131.08 eV/cell.

---

Entry 15:
Density functional theory data (PBE) for AcLaNiAg after structural relaxation.

It has space group F-43m (No. 216), with a = 7.541 Å, b = 7.541 Å, c = 7.541 Å, α = 90.00°, β = 90.00° and γ = 90.00°. Symmetry generates all atoms from Ac at (0.000, 0.000, 0.000), La at (0.000, 0.000, 0.500), Ni at (0.250, 0.250, 0.750) and Ag at (0.250, 0.250, 0.250).

For the total magnetic moment, the calculation gives 0.000 μB/atom. Its formation energy from the elements is -166.2 meV/atom. For the total DFT energy (no corrections), the calculation gives -73.33 eV/cell.

---

Entry 16:
Density functional theory data (PBE) for Ca5PuAs4 after structural relaxation.

It has space group C2/m (No. 12), with a = 18.899 Å, b = 4.414 Å, c = 7.979 Å, α = 90.00°, β = 114.93° and γ = 90.00°. Symmetry generates all atoms from Ca at (0.000, 0.000, 0.000), Ca at (0.166, 0.500, 0.898), Ca at (0.167, 0.500, 0.436), Pu at (0.000, 0.000, 0.500), As at (0.000, 0.500, 0.250) and As at (0.206, 0.000, 0.706).

For the total magnetic moment, the calculation gives 0.600 μB/atom. Its formation energy from the elements is -1009.7 meV/atom. For the total DFT energy (no corrections), the calculation gives -106.07 eV/cell.

---

Entry 17:
Density functional theory data (PBE) for RbCe2NpS8 after structural relaxation.

It has space group P-1 (No. 2), with a = 5.039 Å, b = 7.043 Å, c = 8.674 Å, α = 90.87°, β = 106.57° and γ = 90.52°. Symmetry generates all atoms from Rb at (0.000, 0.000, 0.000), Ce at (0.339, 0.477, 0.691), Np at (0.000, 0.000, 0.500), S at (0.169, 0.264, 0.351), S at (0.203, 0.683, 0.407), S at (0.206, 0.524, 0.000) and S at (0.378, 0.085, 0.748).

For the total magnetic moment, the calculation gives 0.175 μB/atom. For the total DFT energy (no corrections), the calculation gives -74.12 eV/cell.

---

Entry 18:
Density functional theory data (PBE) for BeHg2SO after structural relaxation.

It has space group P4/mmm (No. 123), with a = 6.661 Å, b = 6.661 Å, c = 2.762 Å, α = 90.00°, β = 90.00° and γ = 90.00°. Symmetry generates all atoms from Be at (0.000, 0.000, 0.000), Hg at (0.000, 0.500, 0.000), S at (0.500, 0.500, 0.500) and O at (0.000, 0.000, 0.500).

For the total magnetic moment, the calculation gives 0.000 μB/atom. For the total DFT energy (no corrections), the calculation gives -16.03 eV/cell.

---

Entry 19:
Density functional theory data (PBE) for SrLi4In12 after structural relaxation.

It has space group Im-3 (No. 204), with a = 9.656 Å, b = 9.656 Å, c = 9.656 Å, α = 90.00°, β = 90.00° and γ = 90.00°. Symmetry generates all atoms from Sr at (0.000, 0.000, 0.000), Li at (0.250, 0.250, 0.250) and In at (0.000, 0.162, 0.344).

For the total magnetic moment, the calculation gives 0.000 μB/atom. Its formation energy from the elements is 9.5 meV/atom. For the total DFT energy (no corrections), the calculation gives -84.07 eV/cell.

---

Entry 20:
Density functional theory data (PBE) for Sr3Si4Pd4 after structural relaxation.

It has space group P-1 (No. 2), with a = 4.296 Å, b = 4.439 Å, c = 12.764 Å, α = 80.30°, β = 80.50° and γ = 89.93°. Symmetry generates all atoms from Sr at (0.000, 0.000, 0.000), Sr at (0.351, 0.853, 0.297), Si at (0.101, 0.597, 0.798), Si at (0.249, 0.235, 0.502), Pd at (0.202, 0.690, 0.598) and Pd at (0.443, 0.444, 0.112).

For the total magnetic moment, the calculation gives 0.000 μB/atom. For the total DFT energy (no corrections), the calculation gives -54.59 eV/cell.